# 1
# Sm3Dy3Er5

A relaxed Sm3Dy3Er5 crystal (GGA-PBE, Alexandria via LeMat-Bulk).

Calculated values
calculated volume	39.61	A^3/atom
theoretical density	6.76	g/cm3
space-group type	No. 189
E_form	8.88	eV per formula unit

POSCAR file:
```
Sm3Dy3Er5
1.0
9.644 0.000 0.000
-4.822 8.352 0.000
0.000 0.000 5.409
Sm Dy Er
3 3 5
direct
0.000 0.261 0.000 Sm
0.261 0.000 0.000 Sm
0.739 0.739 0.000 Sm
0.000 0.448 0.500 Dy
0.448 0.000 0.500 Dy
0.552 0.552 0.500 Dy
0.000 0.631 0.000 Er
0.333 0.667 0.000 Er
0.369 0.369 0.000 Er
0.631 0.000 0.000 Er
0.667 0.333 0.000 Er
```



# 2
# Sr2NiSb4Au3

A relaxed Sr2NiSb4Au3 crystal (GGA-PBE, Alexandria via LeMat-Bulk).

Calculated values
calculated volume	25.38	A^3/atom
theoretical density	8.58	g/cm3
formation energy without anion corrections	-0.497	eV/atom
space-group type	No. 115

POSCAR file:
```
Sr2NiSb4Au3
1.0
4.709 0.000 0.000
0.000 4.709 0.000
0.000 0.000 11.444
Sr Ni Sb Au
2 1 4 3
direct
0.000 0.500 0.232 Sr
0.500 0.000 0.768 Sr
0.500 0.500 0.000 Ni
0.000 0.000 0.500 Sb
0.000 0.500 0.881 Sb
0.500 0.000 0.119 Sb
0.500 0.500 0.500 Sb
0.000 0.000 0.000 Au
0.000 0.500 0.647 Au
0.500 0.000 0.353 Au
```